The following is a PBE-GGA calculation of an optimized crystal structure of HfTi2Tl2Te6, from Alexandria.

Unit cell a=6.941 b=6.941 c=8.735 alpha=97.63 beta=97.63 gamma=120.47
Site moments in Bohr magnetons follow the coordinates.
Atoms (fractional coordinates):
Te 0.719 0.719 0.693  -0.03
Te 0.408 0.073 0.703  -0.04
Tl 0.842 0.158 0.000  0.00
Ti 0.324 0.676 0.500  0.81
Hf 0.000 0.000 0.500  0.14
Te 0.927 0.592 0.297  -0.04
Te 0.281 0.281 0.307  -0.03
Te 0.592 0.927 0.297  -0.04
Tl 0.158 0.842 0.000  0.00
Ti 0.676 0.324 0.500  0.81
Te 0.073 0.408 0.703  -0.04

Properties
magnetization: 0.1803 μB/atom
VASP energy: -5.10 eV per atom

The following is a PBE-GGA calculation of an optimized crystal structure of HfTi3Tl3Te8, from Alexandria.

Unit cell a=8.019 b=8.019 c=9.563 alpha=114.81 beta=89.99 gamma=120.01
Site moments in Bohr magnetons follow the coordinates.
Atoms (fractional coordinates):
Tl 0.000 0.000 0.000  0.00
Te 0.268 0.536 0.305  -0.04
Te 0.762 0.037 0.299  -0.04
Te 0.726 0.963 0.701  -0.04
Tl 0.500 0.500 0.000  0.00
Tl 0.000 0.500 0.000  0.00
Te 0.238 0.963 0.701  -0.04
Te 0.762 0.525 0.299  -0.04
Te 0.238 0.475 0.701  -0.04
Te 0.732 0.464 0.695  -0.04
Te 0.274 0.037 0.299  -0.04
Ti 0.000 0.500 0.500  0.83
Ti 0.500 0.000 0.500  0.83
Ti 0.500 0.500 0.500  0.83
Hf 0.000 0.000 0.500  0.15

Properties
magnetization: 0.1962 μB/atom
VASP energy: -4.98 eV per atom

The following is a PBE-GGA calculation of an optimized crystal structure of Hf4TlTe, from Alexandria.

Unit cell a=6.112 b=6.111 c=9.100 alpha=100.17 beta=100.18 gamma=118.30
Atoms (fractional coordinates):
Tl 0.375 0.625 0.250
Te 0.875 0.125 0.250
Hf 0.725 0.463 0.438
Hf 0.974 0.212 0.937
Tl 0.625 0.375 0.750
Hf 0.463 0.726 0.937
Te 0.125 0.875 0.750
Hf 0.537 0.274 0.063
Hf 0.275 0.537 0.562
Hf 0.212 0.974 0.438
Hf 0.026 0.788 0.063
Hf 0.788 0.026 0.562

Properties
magnetization: 0.0000 μB/atom
VASP energy: -7.34 eV per atom